[1]
First-principles (PBE) data for K3NaAu after structural relaxation, as listed in Alexandria via LeMat-Bulk.

The value obtained for the size of the total moment is 0.0 μB/f.u. The value obtained for the density is 2.32 Mg/m³. As for the energy: -1.70 eV/atom. As for the energy of formation from the pure elements: -0.119 eV per atom. The relative energy among the computed polymorphs comes out at 3 meV/atom.

It has space group P2_1/m (No. 11), with a = 10.1374 Å, b = 4.8806 Å, c = 10.8428 Å, α = 90.00°, β = 115.96° and γ = 90.00°. The distinct sites, in fractional coordinates, are K at (0.1387, 0.2500, 0.2818), K at (0.1865, 0.2500, 0.7070), K at (0.3076, 0.7500, 0.0699), Na at (0.4243, 0.7500, 0.5785) and Au at (0.0410, 0.2500, 0.9452).

=====

[2]
First-principles (PBE) data for Li2In5Ga after structural relaxation, as listed in Alexandria via LeMat-Bulk.

The value obtained for the size of the total moment is 0.0 μB/f.u. The value obtained for the density is 6.05 Mg/m³. As for the energy: -2.70 eV/atom. As for the energy of formation from the pure elements: -0.132 eV per atom. The relative energy among the computed polymorphs comes out at 0 meV/atom.

It has space group Pbam (No. 55), with a = 6.2634 Å, b = 12.4280 Å, c = 4.6357 Å, α = 90.00°, β = 90.00° and γ = 90.00°. The distinct sites, in fractional coordinates, are Li at (0.2292, 0.1312, 0.0000), In at (0.0000, 0.0000, 0.5000), In at (0.0197, 0.7459, 0.5000), In at (0.2215, 0.3860, 0.0000) and Ga at (0.0000, 0.5000, 0.5000).

=====

[3]
First-principles (PBE) data for ReP after structural relaxation, as listed in Alexandria via LeMat-Bulk.

The value obtained for the size of the total moment is 0.0 μB/f.u. The value obtained for the density is 9.58 Mg/m³. As for the energy: -8.54 eV/atom. As for the energy of formation from the pure elements: 0.388 eV per atom. The relative energy among the computed polymorphs comes out at 676 meV/atom.

It has space group P6_3mc (No. 186), with a = 3.8076 Å, b = 3.8076 Å, c = 5.9983 Å, α = 90.00°, β = 90.00° and γ = 120.00°. The distinct sites, in fractional coordinates, are Re at (0.3333, 0.6667, 0.0000) and P at (0.3333, 0.6667, 0.6185).

=====

[4]
First-principles (PBE) data for CrCdRh after structural relaxation, as listed in Alexandria via LeMat-Bulk.

The value obtained for the size of the total moment is 3.4 μB/f.u. The value obtained for the density is 7.60 Mg/m³. As for the energy: -5.52 eV/atom. As for the energy of formation from the pure elements: 0.442 eV per atom. The relative energy among the computed polymorphs comes out at 426 meV/atom.

It has space group F-43m (No. 216), with a = 6.1590 Å, b = 6.1590 Å, c = 6.1590 Å, α = 90.00°, β = 90.00° and γ = 90.00°. The distinct sites, in fractional coordinates, are Cr at (0.0000, 0.0000, 0.0000), Cd at (0.0000, 0.0000, 0.5000) and Rh at (0.2500, 0.2500, 0.7500).

=====

[5]
First-principles (PBE) data for K2CoGe2 after structural relaxation, as listed in Alexandria via LeMat-Bulk.

The value obtained for the size of the total moment is 0.0 μB/f.u. The value obtained for the density is 3.93 Mg/m³. As for the energy: -3.54 eV/atom. As for the energy of formation from the pure elements: 0.163 eV per atom.

It has space group P4/mbm (No. 127), with a = 6.4019 Å, b = 6.4019 Å, c = 5.8244 Å, α = 90.00°, β = 90.00° and γ = 90.00°. The distinct sites, in fractional coordinates, are K at (0.1711, 0.3289, 0.0000), Co at (0.0000, 0.0000, 0.5000) and Ge at (0.1792, 0.6792, 0.5000).

=====

[6]
First-principles (PBE) data for AcEr4Tm5 after structural relaxation, as listed in Alexandria via LeMat-Bulk.

The value obtained for the size of the total moment is 0.0 μB/f.u. The value obtained for the density is 8.74 Mg/m³. As for the energy: -4.25 eV/atom. As for the energy of formation from the pure elements: 0.227 eV per atom.

It has space group C2/m (No. 12), with a = 17.0658 Å, b = 3.5514 Å, c = 10.9130 Å, α = 90.00°, β = 90.65° and γ = 90.00°. The distinct sites, in fractional coordinates, are Ac at (0.0000, 0.0000, 0.0000), Er at (0.0264, 0.5000, 0.7410), Er at (0.1516, 0.0000, 0.2505), Tm at (0.0000, 0.0000, 0.5000), Tm at (0.1733, 0.5000, 0.5475) and Tm at (0.1771, 0.5000, 0.9416).

=====

[7]
First-principles (PBE) data for In2TcAs after structural relaxation, as listed in Alexandria via LeMat-Bulk.

The value obtained for the size of the total moment is 0.0 μB/f.u. The value obtained for the density is 8.24 Mg/m³. As for the energy: -5.02 eV/atom. As for the energy of formation from the pure elements: 0.108 eV per atom.

It has space group Cm (No. 8), with a = 10.7899 Å, b = 3.1606 Å, c = 4.9622 Å, α = 90.00°, β = 106.41° and γ = 90.00°. The distinct sites, in fractional coordinates, are In at (0.0000, 0.0000, 0.0000), In at (0.2061, 0.0000, 0.6478), Tc at (0.2406, 0.5000, 0.1436) and As at (0.4098, 0.0000, 0.4095).

=====

[8]
First-principles (PBE) data for TbTmTlSe after structural relaxation, as listed in Alexandria via LeMat-Bulk.

The value obtained for the size of the total moment is 0.0 μB/f.u. The value obtained for the density is 9.50 Mg/m³. As for the energy: -4.71 eV/atom. The raw formation energy is -976 meV/atom.

It has space group Cm (No. 8), with a = 6.6838 Å, b = 3.8617 Å, c = 8.5675 Å, α = 90.00°, β = 104.99° and γ = 90.00°. The distinct sites, in fractional coordinates, are Tb at (0.0000, 0.0000, 0.0000), Tm at (0.3074, 0.5000, 0.4226), Tl at (0.0697, 0.5000, 0.7083) and Se at (0.4043, 0.0000, 0.2134).

=====

Question: Number 4 is which compound?
Answer: CrCdRh

=====

Question: Look up the density of the sixth one.
Answer: 8.74 Mg/m³